# LaPr2NpP4 (PBE-GGA, optimized geometry)
data_LaPr2NpP4
_chemical_formula_sum 'La1 Pr2 Np1 P4'
_cell_length_a 7.1997
_cell_length_b 4.1501
_cell_length_c 7.2082
_cell_angle_alpha 90.00
_cell_angle_beta 109.31
_cell_angle_gamma 90.00
_space_group_name_H-M_alt 'P 1'
_space_group_IT_number 1
loop_
_space_group_symop_operation_xyz
'x,y,z'
loop_
_atom_site_label
_atom_site_type_symbol
_atom_site_fract_x
_atom_site_fract_y
_atom_site_fract_z
_atom_site_occupancy
La1 La 0.0000 0.0000 0.0000 1
Pr1 Pr 0.5000 0.0000 0.5000 1
Pr2 Pr 0.5000 0.5000 0.0000 1
Np1 Np 0.0000 0.5000 0.5000 1
P1 P 0.2375 0.0000 0.7358 1
P2 P 0.2433 0.5000 0.2598 1
P3 P 0.7567 0.5000 0.7402 1
P4 P 0.7625 0.0000 0.2642 1
# E: -7.47 eV per atom
# Total magnetic moment: 0.46 μB per atom